## w
Computed, not measured: ErZr4In5 after structural relaxation at the PBE-GGA level of DFT.

Computed properties:
The volume is 24.6 Å³ per atom.

Lattice parameters (Å, degrees): 7.5147 8.8104 7.4421 90.00 90.00 90.00
Sites, in units of the cell vectors:
Er  0.2500  0.2500  0.0617
Er  0.7500  0.7500  0.9383
Zr  0.0707  0.7500  0.5479
Zr  0.2500  0.0696  0.5063
Zr  0.2500  0.4304  0.5063
Zr  0.4293  0.7500  0.5479
Zr  0.5707  0.2500  0.4521
Zr  0.7500  0.5696  0.4937
Zr  0.7500  0.9304  0.4937
Zr  0.9293  0.2500  0.4521
In  0.0321  0.5497  0.1917
In  0.0321  0.9503  0.1917
In  0.2500  0.7500  0.9131
In  0.4679  0.5497  0.1917
In  0.4679  0.9503  0.1917
In  0.5321  0.0497  0.8083
In  0.5321  0.4503  0.8083
In  0.7500  0.2500  0.0869
In  0.9679  0.0497  0.8083
In  0.9679  0.4503  0.8083

## x
Computed, not measured: ErZr4In5 after structural relaxation at the PBE-GGA level of DFT.

Computed properties:
The volume is 22.8 Å³ per atom.

Lattice parameters (Å, degrees): 3.2026 3.2026 22.2224 90.00 90.00 90.00
Sites, in units of the cell vectors:
Er  0.0000  0.0000  0.0000
Zr  0.0000  0.0000  0.2056
Zr  0.0000  0.0000  0.4017
Zr  0.0000  0.0000  0.5983
Zr  0.0000  0.0000  0.7944
In  0.5000  0.5000  0.1063
In  0.5000  0.5000  0.3037
In  0.5000  0.5000  0.5000
In  0.5000  0.5000  0.6963
In  0.5000  0.5000  0.8937

x (248 meV per atom below the next structure)

## w
Computed, not measured: ErZr2In after structural relaxation at the PBE-GGA level of DFT.

Computed properties:
The volume is 24.4 Å³ per atom.

Lattice parameters (Å, degrees): 3.2678 3.2678 9.1307 90.00 90.00 90.00
Sites, in units of the cell vectors:
Er  0.0000  0.0000  0.0000
Zr  0.5000  0.5000  0.2656
Zr  0.5000  0.5000  0.7344
In  0.0000  0.0000  0.5000

## x
Computed, not measured: ErZr2In after structural relaxation at the PBE-GGA level of DFT.

Computed properties:
The volume is 25.6 Å³ per atom.

Lattice parameters (Å, degrees): 4.1337 4.5941 10.9716 90.00 100.91 90.00
Sites, in units of the cell vectors:
Er  0.1930  0.2500  0.3850
Er  0.8070  0.7500  0.6150
Zr  0.0533  0.7500  0.1062
Zr  0.4466  0.7500  0.8941
Zr  0.5534  0.2500  0.1059
Zr  0.9467  0.2500  0.8938
In  0.3390  0.2500  0.6789
In  0.6610  0.7500  0.3211

## y
Computed, not measured: ErZr2In after structural relaxation at the PBE-GGA level of DFT.

Computed properties:
The volume is 24.7 Å³ per atom.

Lattice parameters (Å, degrees): 10.5735 10.5735 10.5735 18.04 18.04 18.04
Sites, in units of the cell vectors:
Er  0.0000  0.0000  0.0000
Zr  0.2474  0.2474  0.2474
Zr  0.4185  0.4185  0.4185
In  0.8333  0.8333  0.8333

x (123 meV per atom below the next structure)

## w
Computed, not measured: ErZr2In after structural relaxation at the PBE-GGA level of DFT.

Computed properties:
The volume is 23.6 Å³ per atom.

Lattice parameters (Å, degrees): 5.1073 5.1073 5.1073 60.00 60.00 60.00
Sites, in units of the cell vectors:
Er  0.0000  0.0000  0.0000
Zr  0.2500  0.2500  0.2500
Zr  0.7500  0.7500  0.7500
In  0.5000  0.5000  0.5000

## x
Computed, not measured: ErZr2In after structural relaxation at the PBE-GGA level of DFT.

Computed properties:
The volume is 23.8 Å³ per atom.

Lattice parameters (Å, degrees): 4.5618 4.5618 4.5684 90.00 90.00 90.00
Sites, in units of the cell vectors:
Er  0.0000  0.0000  0.0000
Zr  0.0000  0.5000  0.5000
Zr  0.5000  0.0000  0.5000
In  0.5000  0.5000  0.0000

x (162 meV per atom below the next structure)

## w
Computed, not measured: Er3Ir2 after structural relaxation at the PBE-GGA level of DFT.

Computed properties:
The volume is 22.2 Å³ per atom.

Lattice parameters (Å, degrees): 14.7796 14.7796 14.7796 135.71 135.71 64.43
Sites, in units of the cell vectors:
Er  0.0020  0.7231  0.8689
Er  0.0169  0.7268  0.1319
Er  0.0949  0.2268  0.7099
Er  0.1134  0.6134  0.5000
Er  0.1151  0.9831  0.7099
Er  0.1331  0.0020  0.2789
Er  0.1458  0.8669  0.8689
Er  0.1507  0.3493  0.5000
Er  0.2231  0.5020  0.8689
Er  0.2268  0.5169  0.1319
Er  0.2500  0.7500  0.5000
Er  0.2732  0.4051  0.2901
Er  0.2769  0.1458  0.2789
Er  0.3493  0.8493  0.1987
Er  0.3542  0.2231  0.7211
Er  0.3669  0.6458  0.8689
Er  0.3849  0.0949  0.8681
Er  0.3866  0.8866  0.5000
Er  0.4051  0.1151  0.1319
Er  0.4831  0.6151  0.7099
Er  0.4980  0.3669  0.7211
Er  0.5020  0.6331  0.2789
Er  0.5169  0.3849  0.2901
Er  0.5949  0.8849  0.8681
Er  0.6134  0.1134  0.5000
Er  0.6151  0.9051  0.1319
Er  0.6331  0.3542  0.1311
Er  0.6458  0.7769  0.2789
Er  0.6507  0.1507  0.8013
Er  0.7231  0.8542  0.7211
Er  0.7268  0.5949  0.7099
Er  0.7500  0.2500  0.5000
Er  0.7732  0.4831  0.8681
Er  0.7769  0.4980  0.1311
Er  0.8493  0.6507  0.5000
Er  0.8542  0.1331  0.1311
Er  0.8669  0.9980  0.7211
Er  0.8849  0.0169  0.2901
Er  0.8866  0.3866  0.5000
Er  0.9051  0.7732  0.2901
Er  0.9831  0.2732  0.8681
Er  0.9980  0.2769  0.1311
Ir  0.0000  0.0000  0.0000
Ir  0.0344  0.5344  0.1915
Ir  0.0737  0.2136  0.5000
Ir  0.0968  0.5968  0.6936
Ir  0.1332  0.1332  0.0000
Ir  0.1571  0.9656  0.5000
Ir  0.2136  0.7136  0.1399
Ir  0.2500  0.2500  0.0000
Ir  0.2864  0.4263  0.5000
Ir  0.3429  0.8429  0.8085
Ir  0.3668  0.3668  0.0000
Ir  0.4032  0.0968  0.5000
Ir  0.4263  0.9263  0.1399
Ir  0.4656  0.6571  0.5000
Ir  0.5000  0.5000  0.0000
Ir  0.5344  0.3429  0.5000
Ir  0.5737  0.0737  0.8601
Ir  0.5968  0.9032  0.5000
Ir  0.6332  0.6332  0.0000
Ir  0.6571  0.1571  0.1915
Ir  0.7136  0.5737  0.5000
Ir  0.7500  0.7500  0.0000
Ir  0.7864  0.2864  0.8601
Ir  0.8429  0.0344  0.5000
Ir  0.8668  0.8668  0.0000
Ir  0.9032  0.4032  0.3064
Ir  0.9263  0.7864  0.5000
Ir  0.9656  0.4656  0.8085

## x
Computed, not measured: Er3Ir2 after structural relaxation at the PBE-GGA level of DFT.

Computed properties:
The volume is 23.1 Å³ per atom.

Lattice parameters (Å, degrees): 4.7346 4.7346 5.9631 90.15 90.15 59.75
Sites, in units of the cell vectors:
Er  0.0000  0.0000  0.0000
Er  0.3335  0.3335  0.3361
Er  0.6665  0.6665  0.6639
Ir  0.3333  0.3333  0.8298
Ir  0.6667  0.6667  0.1702

## y
Computed, not measured: Er3Ir2 after structural relaxation at the PBE-GGA level of DFT.

Computed properties:
The volume is 23.3 Å³ per atom.

Lattice parameters (Å, degrees): 5.8776 5.8776 9.9273 90.00 90.00 137.31
Sites, in units of the cell vectors:
Er  0.0961  0.9039  0.7500
Er  0.3518  0.6482  0.5641
Er  0.3518  0.6482  0.9359
Er  0.6482  0.3518  0.0641
Er  0.6482  0.3518  0.4359
Er  0.9039  0.0961  0.2500
Ir  0.0000  0.0000  0.0000
Ir  0.0000  0.0000  0.5000
Ir  0.1870  0.8130  0.2500
Ir  0.8130  0.1870  0.7500

w (8 meV per atom below the next structure)

## w
Computed, not measured: LaEr2Ir after structural relaxation at the PBE-GGA level of DFT.

Computed properties:
The volume is 27.8 Å³ per atom.

Lattice parameters (Å, degrees): 7.2984 9.3877 6.4914 90.00 90.00 90.00
Sites, in units of the cell vectors:
La  0.0396  0.2500  0.1351
La  0.4604  0.7500  0.6351
La  0.5396  0.2500  0.3649
La  0.9604  0.7500  0.8649
Er  0.1734  0.0659  0.6667
Er  0.1734  0.4341  0.6667
Er  0.3266  0.5659  0.1667
Er  0.3266  0.9341  0.1667
Er  0.6734  0.0659  0.8333
Er  0.6734  0.4341  0.8333
Er  0.8266  0.5659  0.3333
Er  0.8266  0.9341  0.3333
Ir  0.1212  0.7500  0.4338
Ir  0.3788  0.2500  0.9338
Ir  0.6212  0.7500  0.0662
Ir  0.8788  0.2500  0.5662

## x
Computed, not measured: LaEr2Ir after structural relaxation at the PBE-GGA level of DFT.

Computed properties:
The volume is 32.9 Å³ per atom.

Lattice parameters (Å, degrees): 10.7322 10.7322 10.7322 20.41 20.41 20.41
Sites, in units of the cell vectors:
La  0.0000  0.0000  0.0000
Er  0.1161  0.1161  0.1161
Er  0.8839  0.8839  0.8839
Ir  0.5000  0.5000  0.5000

## y
Computed, not measured: LaEr2Ir after structural relaxation at the PBE-GGA level of DFT.

Computed properties:
The volume is 27.0 Å³ per atom.

Lattice parameters (Å, degrees): 3.4748 3.4748 8.9614 90.00 90.00 90.00
Sites, in units of the cell vectors:
La  0.0000  0.0000  0.0000
Er  0.5000  0.5000  0.3208
Er  0.5000  0.5000  0.6792
Ir  0.0000  0.0000  0.5000

w (105 meV per atom below the next structure)

## w
Computed, not measured: La2ErIr after structural relaxation at the PBE-GGA level of DFT.

Computed properties:
The volume is 34.8 Å³ per atom.

Lattice parameters (Å, degrees): 10.8603 10.8603 10.8603 20.62 20.62 20.62
Sites, in units of the cell vectors:
La  0.1121  0.1121  0.1121
La  0.8879  0.8879  0.8879
Er  0.0000  0.0000  0.0000
Ir  0.5000  0.5000  0.5000

## x
Computed, not measured: La2ErIr after structural relaxation at the PBE-GGA level of DFT.

Computed properties:
The volume is 29.8 Å³ per atom.

Lattice parameters (Å, degrees): 7.3447 10.0665 6.4394 90.00 90.00 90.00
Sites, in units of the cell vectors:
La  0.1768  0.0669  0.1748
La  0.1768  0.4331  0.1748
La  0.3232  0.5669  0.6748
La  0.3232  0.9331  0.6748
La  0.6768  0.0669  0.3252
La  0.6768  0.4331  0.3252
La  0.8232  0.5669  0.8252
La  0.8232  0.9331  0.8252
Er  0.0405  0.2500  0.6584
Er  0.4595  0.7500  0.1584
Er  0.5405  0.2500  0.8416
Er  0.9595  0.7500  0.3416
Ir  0.1233  0.7500  0.9491
Ir  0.3767  0.2500  0.4491
Ir  0.6233  0.7500  0.5509
Ir  0.8767  0.2500  0.0509

x (394 meV per atom below the next structure)